# 1
Density functional theory data (PBE-GGA) for crystalline Ta2NiSnIr at its relaxed geometry.

abc: 4.529 4.529 4.652
angles: 90.00 90.00 90.00
Space group P4/mmm (No. 123)
Inequivalent atoms, fractional coordinates:
Ta1 0.000 0.500 0.000 [2 per cell]
Ni1 0.000 0.000 0.000 [1 per cell]
Sn1 0.500 0.500 0.500 [1 per cell]
Ir1 0.000 0.000 0.500 [1 per cell]

V ... 95.4 Å³/cell
Magnetization ... 0.0 μB per cell
N(E_F) ... 4.296 states/eV/f.u.
Electronic total energy ... -7.76 eV/atom

***

# 2
Density functional theory data (PBE-GGA) for crystalline Tb4Y2HoTm2 at its relaxed geometry.

abc: 16.998 3.563 9.589
angles: 90.00 100.62 90.00
Space group C2/m (No. 12)
Inequivalent atoms, fractional coordinates:
Tb1 0.015 0.000 0.325 [4 per cell]
Tb2 0.176 0.500 0.237 [4 per cell]
Y1 0.155 0.500 0.589 [4 per cell]
Ho1 0.000 0.500 0.000 [2 per cell]
Tm1 0.165 0.000 0.921 [4 per cell]

V ... 570.8 Å³/cell
Magnetization ... 0.0 μB per cell
N(E_F) ... 12.653 states/eV/f.u.
Electronic total energy ... -4.97 eV/atom